[1]
Below is a relaxed PaZnPt6 crystal, with properties calculated at the PBE-GGA level.

It has space group P4/mmm (No. 123), with a = 5.745 Å, b = 5.745 Å, c = 4.061 Å, α = 90.00°, β = 90.00° and γ = 90.00°. The asymmetric unit holds Pa at (0.000, 0.000, 0.000), Zn at (0.500, 0.500, 0.000), Pt at (0.000, 0.500, 0.000) and Pt at (0.253, 0.253, 0.500).

The electronic total energy is -53.04 eV/cell. The size of the total moment is 0.0 Bohr magnetons per cell. For the density of states at the Fermi level, the calculation gives 4.44 states/eV/cell. The volume comes out at 16.8 A^3/atom. The formation energy comes out at -753.4 meV/atom.

[2]
Below is a relaxed Pa2Zn3Pt4 crystal, with properties calculated at the PBE-GGA level.

It has space group Cmce (No. 64), with a = 5.577 Å, b = 15.720 Å, c = 7.456 Å, α = 90.00°, β = 90.00° and γ = 90.00°. The asymmetric unit holds Pa at (0.000, 0.110, 0.088), Zn at (0.000, 0.000, 0.500), Zn at (0.250, 0.225, 0.750), Pt at (0.000, 0.173, 0.461) and Pt at (0.250, 0.059, 0.750).

The electronic total energy is -213.74 eV/cell. The size of the total moment is 0.0 Bohr magnetons per cell. For the density of states at the Fermi level, the calculation gives 35.78 states/eV/cell. The volume comes out at 18.2 A^3/atom. The formation energy comes out at -717.6 meV/atom.

[3]
Below is a relaxed PaZn4Pt2 crystal, with properties calculated at the PBE-GGA level.

It has space group Cmmm (No. 65), with a = 4.093 Å, b = 17.012 Å, c = 3.515 Å, α = 90.00°, β = 90.00° and γ = 90.00°. The asymmetric unit holds Pa at (0.000, 0.000, 0.000), Zn at (0.000, 0.178, 0.500), Zn at (0.000, 0.304, 0.000) and Pt at (0.000, 0.421, 0.500).

As for the relative energy among the computed polymorphs: 0.065 eV per atom. The electronic total energy is -59.96 eV/cell. The size of the total moment is 0.0 Bohr magnetons per cell. For the density of states at the Fermi level, the calculation gives 8.30 states/eV/cell. The volume comes out at 17.5 A^3/atom. The formation energy comes out at -472.3 meV/atom.

[4]
Below is a relaxed PaZnPt2 crystal, with properties calculated at the PBE-GGA level.

It has space group P4/mmm (No. 123), with a = 3.259 Å, b = 3.259 Å, c = 6.788 Å, α = 90.00°, β = 90.00° and γ = 90.00°. The asymmetric unit holds Pa at (0.000, 0.000, 0.000), Zn at (0.000, 0.000, 0.500) and Pt at (0.500, 0.500, 0.283).

The electronic total energy is -25.89 eV/cell. The size of the total moment is 0.0 Bohr magnetons per cell. For the density of states at the Fermi level, the calculation gives 2.65 states/eV/cell. The volume comes out at 18.0 A^3/atom. The formation energy comes out at -760.1 meV/atom.

[5]
Below is a relaxed Pa2ZnPt3 crystal, with properties calculated at the PBE-GGA level.

It has space group Fmmm (No. 69), with a = 6.405 Å, b = 9.165 Å, c = 15.862 Å, α = 90.00°, β = 90.00° and γ = 90.00°. The asymmetric unit holds Pa at (0.232, 0.000, 0.000), Pa at (0.250, 0.250, 0.250), Zn at (0.000, 0.000, 0.334), Pt at (0.000, 0.000, 0.173) and Pt at (0.000, 0.237, 0.413).

The electronic total energy is -348.25 eV/cell. The size of the total moment is 0.0 Bohr magnetons per cell. For the density of states at the Fermi level, the calculation gives 45.24 states/eV/cell. The volume comes out at 19.4 A^3/atom. The formation energy comes out at -857.2 meV/atom.

[6]
Below is a relaxed Zr2PaPt crystal, with properties calculated at the PBE-GGA level.

It has space group P4/mmm (No. 123), with a = 5.095 Å, b = 5.095 Å, c = 3.190 Å, α = 90.00°, β = 90.00° and γ = 90.00°. The asymmetric unit holds Zr at (0.000, 0.500, 0.000), Pa at (0.000, 0.000, 0.500) and Pt at (0.500, 0.500, 0.500).

As for the relative energy among the computed polymorphs: 0.066 eV per atom. The electronic total energy is -34.13 eV/cell. The size of the total moment is 0.0 Bohr magnetons per cell. For the density of states at the Fermi level, the calculation gives 5.08 states/eV/cell. The volume comes out at 20.7 A^3/atom. The formation energy comes out at -374.6 meV/atom.

[7]
Below is a relaxed ZrPa5Pt6 crystal, with properties calculated at the PBE-GGA level.

It has space group C2/m (No. 12), with a = 7.416 Å, b = 12.732 Å, c = 6.364 Å, α = 90.00°, β = 112.50° and γ = 90.00°. The asymmetric unit holds Zr at (0.000, 0.000, 0.000), Pa at (0.000, 0.163, 0.500), Pa at (0.000, 0.330, 0.000), Pa at (0.000, 0.500, 0.500), Pt at (0.246, 0.500, 0.237) and Pt at (0.250, 0.166, 0.247).

The electronic total energy is -204.63 eV/cell. The size of the total moment is 0.0 Bohr magnetons per cell. For the density of states at the Fermi level, the calculation gives 38.03 states/eV/cell. The volume comes out at 23.1 A^3/atom. The formation energy comes out at -836.8 meV/atom.

[8]
Below is a relaxed ZrPa2Pt9 crystal, with properties calculated at the PBE-GGA level.

It has space group P4/mmm (No. 123), with a = 4.146 Å, b = 4.146 Å, c = 12.402 Å, α = 90.00°, β = 90.00° and γ = 90.00°. The asymmetric unit holds Zr at (0.000, 0.000, 0.000), Pa at (0.000, 0.000, 0.330), Pt at (0.000, 0.500, 0.160), Pt at (0.000, 0.500, 0.500), Pt at (0.500, 0.500, 0.000) and Pt at (0.500, 0.500, 0.328).

The electronic total energy is -93.05 eV/cell. The size of the total moment is 1.8 Bohr magnetons per cell. For the density of states at the Fermi level, the calculation gives 13.27 states/eV/cell. The volume comes out at 17.8 A^3/atom. The formation energy comes out at -928.4 meV/atom.

[9]
Below is a relaxed Zr2PaPt crystal, with properties calculated at the PBE-GGA level.

It has space group F-43m (No. 216), with a = 6.965 Å, b = 6.965 Å, c = 6.965 Å, α = 90.00°, β = 90.00° and γ = 90.00°. The asymmetric unit holds Zr at (0.000, 0.000, 0.000), Zr at (0.250, 0.250, 0.250), Pa at (0.250, 0.250, 0.750) and Pt at (0.000, 0.000, 0.500).

As for the relative energy among the computed polymorphs: 0.078 eV per atom. The electronic total energy is -136.34 eV/cell. The size of the total moment is 0.0 Bohr magnetons per cell. For the density of states at the Fermi level, the calculation gives 13.96 states/eV/cell. The volume comes out at 21.1 A^3/atom. The formation energy comes out at -363.3 meV/atom.

[10]
Below is a relaxed Zr2PaPt crystal, with properties calculated at the PBE-GGA level.

It has space group P4/mmm (No. 123), with a = 3.383 Å, b = 3.383 Å, c = 7.597 Å, α = 90.00°, β = 90.00° and γ = 90.00°. The asymmetric unit holds Zr at (0.000, 0.000, 0.217), Pa at (0.500, 0.500, 0.500) and Pt at (0.500, 0.500, 0.000).

As for the relative energy among the computed polymorphs: 0.000 eV per atom. The electronic total energy is -34.40 eV/cell. The size of the total moment is 0.0 Bohr magnetons per cell. For the density of states at the Fermi level, the calculation gives 4.10 states/eV/cell. The volume comes out at 21.7 A^3/atom. The formation energy comes out at -441.1 meV/atom.

[11]
Below is a relaxed ZrPaPt crystal, with properties calculated at the PBE-GGA level.

It has space group P3m1 (No. 156), with a = 4.8480 Å, b = 4.8480 Å, c = 3.0960 Å, α = 90.00°, β = 90.00° and γ = 120.00°. The asymmetric unit holds Zr at (0.0000, 0.0000, 0.0000), Pa at (0.3333, 0.6667, 0.3876) and Pt at (0.6667, 0.3333, 0.6334).

As for the relative energy among the computed polymorphs: 0.371 eV per atom. The electronic total energy is -25.00 eV/cell. The size of the total moment is 0.0 Bohr magnetons per cell. For the density of states at the Fermi level, the calculation gives 5.03 states/eV/cell. The volume comes out at 21.0 A^3/atom. The formation energy comes out at -306.4 meV/atom.

[12]
Below is a relaxed ZrPaPt6 crystal, with properties calculated at the PBE-GGA level.

It has space group P4/mmm (No. 123), with a = 4.129 Å, b = 4.129 Å, c = 8.199 Å, α = 90.00°, β = 90.00° and γ = 90.00°. The asymmetric unit holds Zr at (0.000, 0.000, 0.000), Pa at (0.000, 0.000, 0.500), Pt at (0.000, 0.500, 0.243), Pt at (0.500, 0.500, 0.000) and Pt at (0.500, 0.500, 0.500).

The electronic total energy is -61.87 eV/cell. The size of the total moment is 0.8 Bohr magnetons per cell. For the density of states at the Fermi level, the calculation gives 7.45 states/eV/cell. The volume comes out at 17.5 A^3/atom. The formation energy comes out at -947.4 meV/atom.

[13]
Below is a relaxed ZrPaPt4 crystal, with properties calculated at the PBE-GGA level.

It has space group F-43m (No. 216), with a = 7.625 Å, b = 7.625 Å, c = 7.625 Å, α = 90.00°, β = 90.00° and γ = 90.00°. The asymmetric unit holds Zr at (0.000, 0.000, 0.000), Pa at (0.250, 0.250, 0.750) and Pt at (0.126, 0.126, 0.374).

The electronic total energy is -188.47 eV/cell. The size of the total moment is 4.3 Bohr magnetons per cell. For the density of states at the Fermi level, the calculation gives 28.95 states/eV/cell. The volume comes out at 18.5 A^3/atom. The formation energy comes out at -818.4 meV/atom.

[14]
Below is a relaxed ZrPaPt crystal, with properties calculated at the PBE-GGA level.

It has space group Fddd (No. 70, origin choice 2), with a = 5.564 Å, b = 9.600 Å, c = 19.599 Å, α = 90.00°, β = 90.00° and γ = 90.00°. The asymmetric unit holds Zr at (0.125, 0.296, 0.125), Pa at (0.125, 0.125, 0.554) and Pt at (0.125, 0.125, 0.002).

As for the relative energy among the computed polymorphs: 0.000 eV per atom. The electronic total energy is -417.87 eV/cell. The size of the total moment is 0.0 Bohr magnetons per cell. For the density of states at the Fermi level, the calculation gives 78.64 states/eV/cell. The volume comes out at 21.8 A^3/atom. The formation energy comes out at -677.4 meV/atom.

[15]
Below is a relaxed Zr2PaPt crystal, with properties calculated at the PBE-GGA level.

It has space group Fm-3m (No. 225), with a = 6.897 Å, b = 6.897 Å, c = 6.897 Å, α = 90.00°, β = 90.00° and γ = 90.00°. The asymmetric unit holds Zr at (0.250, 0.250, 0.250), Pa at (0.000, 0.000, 0.000) and Pt at (0.000, 0.000, 0.500).

As for the relative energy among the computed polymorphs: 0.176 eV per atom. The electronic total energy is -134.77 eV/cell. The size of the total moment is 0.0 Bohr magnetons per cell. For the density of states at the Fermi level, the calculation gives 23.88 states/eV/cell. The volume comes out at 20.5 A^3/atom. The formation energy comes out at -265.0 meV/atom.

[16]
Below is a relaxed Pu5Pa crystal, with properties calculated at the PBE-GGA level.

It has space group Cmmm (No. 65), with a = 4.680 Å, b = 13.645 Å, c = 4.339 Å, α = 90.00°, β = 90.00° and γ = 90.00°. The asymmetric unit holds Pu at (0.000, 0.000, 0.000), Pu at (0.000, 0.167, 0.500), Pu at (0.000, 0.331, 0.000) and Pa at (0.000, 0.500, 0.500).

The electronic total energy is -160.96 eV/cell. The size of the total moment is 9.7 Bohr magnetons per cell. For the density of states at the Fermi level, the calculation gives 41.61 states/eV/cell. The volume comes out at 23.1 A^3/atom. The formation energy comes out at 112.6 meV/atom.

[17]
Below is a relaxed Pu2Pa3 crystal, with properties calculated at the PBE-GGA level.

It has space group C2/c (No. 15), with a = 5.661 Å, b = 10.376 Å, c = 8.431 Å, α = 90.00°, β = 109.51° and γ = 90.00°. The asymmetric unit holds Pu at (0.201, 0.125, 0.153), Pa at (0.000, 0.125, 0.750) and Pa at (0.104, 0.375, 0.457).

As for the relative energy among the computed polymorphs: 0.000 eV per atom. The electronic total energy is -227.29 eV/cell. The size of the total moment is 37.9 Bohr magnetons per cell. For the density of states at the Fermi level, the calculation gives 45.44 states/eV/cell. The volume comes out at 23.3 A^3/atom. The formation energy comes out at 65.8 meV/atom.

[18]
Below is a relaxed PuPa2 crystal, with properties calculated at the PBE-GGA level.

It has space group Fmm2 (No. 42), with a = 3.699 Å, b = 12.285 Å, c = 6.094 Å, α = 90.00°, β = 90.00° and γ = 90.00°. The asymmetric unit holds Pu at (0.000, 0.000, 0.000) and Pa at (0.000, 0.132, 0.333).

As for the relative energy among the computed polymorphs: 0.409 eV per atom. The electronic total energy is -127.79 eV/cell. The size of the total moment is 0.0 Bohr magnetons per cell. For the density of states at the Fermi level, the calculation gives 26.77 states/eV/cell. The volume comes out at 23.1 A^3/atom. The formation energy comes out at 458.7 meV/atom.

[19]
Below is a relaxed Pu3Pa7 crystal, with properties calculated at the PBE-GGA level.

It has space group P6_3mc (No. 186), with a = 9.1341 Å, b = 9.1341 Å, c = 6.5950 Å, α = 90.00°, β = 90.00° and γ = 120.00°. The asymmetric unit holds Pu at (0.1975, 0.3950, 0.0000), Pa at (0.0774, 0.5387, 0.7128), Pa at (0.1269, 0.2537, 0.4371) and Pa at (0.3333, 0.6667, 0.3257).

As for the relative energy among the computed polymorphs: 0.069 eV per atom. The electronic total energy is -216.76 eV/cell. The size of the total moment is 31.8 Bohr magnetons per cell. For the density of states at the Fermi level, the calculation gives 41.47 states/eV/cell. The volume comes out at 23.8 A^3/atom. The formation energy comes out at 108.6 meV/atom.

[20]
Below is a relaxed PuPa crystal, with properties calculated at the PBE-GGA level.

It has space group Pnma (No. 62), with a = 8.085 Å, b = 4.422 Å, c = 5.014 Å, α = 90.00°, β = 90.00° and γ = 90.00°. The asymmetric unit holds Pu at (0.013, 0.250, 0.061) and Pa at (0.165, 0.750, 0.503).

As for the relative energy among the computed polymorphs: 0.000 eV per atom. The electronic total energy is -95.23 eV/cell. The size of the total moment is 0.0 Bohr magnetons per cell. For the density of states at the Fermi level, the calculation gives 13.64 states/eV/cell. The volume comes out at 22.4 A^3/atom. The formation energy comes out at 10.2 meV/atom.